(1)
The following is a DFT calculation (PBE) of a relaxed Be3TlPb crystal.

D(E_F) in states/eV/f.u.: 2.210
Distance to the lowest polymorph of the same formula in meV/atom: 0
DFT formation energy in eV per atom: 1.12

Geometry as CIF:
```
data_Be3TlPb
_cell_length_a 4.6694
_cell_length_b 4.6694
_cell_length_c 4.6694
_cell_angle_alpha 90.00
_cell_angle_beta 90.00
_cell_angle_gamma 90.00
_space_group_name_H-M_alt 'P m -3 m'
_space_group_IT_number 221
_space_group_name_Hall '-P 4 2 3'
loop_
_atom_site_label
_atom_site_type_symbol
_atom_site_fract_x
_atom_site_fract_y
_atom_site_fract_z
Be1 Be 0.0000 0.0000 0.5000
Tl1 Tl 0.0000 0.0000 0.0000
Pb1 Pb 0.5000 0.5000 0.5000
```

(2)
The following is a DFT calculation (PBE) of a relaxed NaZn2Cl crystal.

Formation energy (no corrections) in eV per atom: -0.3705
D(E_F) in states/eV/f.u.: 0.139
Distance to the lowest polymorph of the same formula in meV/atom: 0

Geometry as CIF:
```
data_NaZn2Cl
_cell_length_a 8.6979
_cell_length_b 8.6979
_cell_length_c 5.1510
_cell_angle_alpha 90.00
_cell_angle_beta 90.00
_cell_angle_gamma 90.00
_space_group_name_H-M_alt 'I -4 2 d'
_space_group_IT_number 122
_space_group_name_Hall 'I -4 2bw'
loop_
_atom_site_label
_atom_site_type_symbol
_atom_site_fract_x
_atom_site_fract_y
_atom_site_fract_z
Na1 Na 0.0000 0.0000 0.0000
Zn1 Zn 0.2327 0.2500 0.6250
Cl1 Cl 0.0000 0.0000 0.5000
```

(3)
The following is a DFT calculation (PBE) of a relaxed Ba2YNi2 crystal.

D(E_F) in states/eV/f.u.: 4.924
DFT formation energy in eV per atom: 0.11

Geometry as CIF:
```
data_Ba2YNi2
_cell_length_a 7.6062
_cell_length_b 7.6062
_cell_length_c 4.9958
_cell_angle_alpha 90.00
_cell_angle_beta 90.00
_cell_angle_gamma 90.00
_space_group_name_H-M_alt 'P 4/m b m'
_space_group_IT_number 127
_space_group_name_Hall '-P 4 2ab'
loop_
_atom_site_label
_atom_site_type_symbol
_atom_site_fract_x
_atom_site_fract_y
_atom_site_fract_z
Ba1 Ba 0.1730 0.3270 0.0000
Y1 Y 0.0000 0.0000 0.5000
Ni1 Ni 0.1122 0.6122 0.5000
```

(4)
The following is a DFT calculation (PBE) of a relaxed TbPm4Pr4 crystal.

D(E_F) in states/eV/f.u.: 14.111
DFT formation energy in eV per atom: 0.01

Geometry as CIF:
```
data_TbPm4Pr4
_cell_length_a 11.0100
_cell_length_b 11.0100
_cell_length_c 5.1858
_cell_angle_alpha 90.00
_cell_angle_beta 90.00
_cell_angle_gamma 90.00
_space_group_name_H-M_alt 'I 4/m m m'
_space_group_IT_number 139
_space_group_name_Hall '-I 4 2'
loop_
_atom_site_label
_atom_site_type_symbol
_atom_site_fract_x
_atom_site_fract_y
_atom_site_fract_z
Tb1 Tb 0.0000 0.0000 0.0000
Pm1 Pm 0.0000 0.3337 0.0000
Pr1 Pr 0.1661 0.1661 0.5000
```

(5)
The following is a DFT calculation (PBE) of a relaxed Tb4NdAl5 crystal.

D(E_F) in states/eV/f.u.: 3.821
DFT formation energy in eV per atom: -0.39

Geometry as CIF:
```
data_Tb4NdAl5
_cell_length_a 3.6340
_cell_length_b 3.6340
_cell_length_c 18.2227
_cell_angle_alpha 90.00
_cell_angle_beta 90.00
_cell_angle_gamma 90.00
_space_group_name_H-M_alt 'P 4/m m m'
_space_group_IT_number 123
_space_group_name_Hall '-P 4 2'
loop_
_atom_site_label
_atom_site_type_symbol
_atom_site_fract_x
_atom_site_fract_y
_atom_site_fract_z
Tb1 Tb 0.0000 0.0000 0.0984
Tb2 Tb 0.0000 0.0000 0.2954
Nd1 Nd 0.0000 0.0000 0.5000
Al1 Al 0.5000 0.5000 0.0000
Al2 Al 0.5000 0.5000 0.1969
Al3 Al 0.5000 0.5000 0.3927
```

(6)
The following is a DFT calculation (PBE) of a relaxed SrSn3Ge crystal.

D(E_F) in states/eV/f.u.: 8.701
Distance to the lowest polymorph of the same formula in meV/atom: 1017
DFT formation energy in eV per atom: 1.09

Geometry as CIF:
```
data_SrSn3Ge
_cell_length_a 5.9342
_cell_length_b 5.9342
_cell_length_c 5.9342
_cell_angle_alpha 90.00
_cell_angle_beta 90.00
_cell_angle_gamma 90.00
_space_group_name_H-M_alt 'P m -3 m'
_space_group_IT_number 221
_space_group_name_Hall '-P 4 2 3'
loop_
_atom_site_label
_atom_site_type_symbol
_atom_site_fract_x
_atom_site_fract_y
_atom_site_fract_z
Sr1 Sr 0.0000 0.0000 0.0000
Sn1 Sn 0.0000 0.0000 0.5000
Ge1 Ge 0.5000 0.5000 0.5000
```

| no. | magnetic moment (μB/atom) |
| --- | --- |
| 1 | 0.000 |
| 2 | 0.000 |
| 3 | 0.000 |
| 4 | 0.000 |
| 5 | 0.000 |
| 6 | 0.127 |